Version one
Entry from the Alexandria database: a relaxed TcAu3I crystal (PBE).

Properties
- DOS at the Fermi energy (states/eV/cell) = 4.6
- total magnetic moment (μB per formula unit) = 2.8

Cell: 5.153 5.153 5.153 Å, 90.00 90.00 90.00°
Positions (direct):
1 Tc 0.000 0.000 0.000
2 Au 0.000 0.000 0.500
3 Au 0.000 0.500 0.000
4 Au 0.500 0.000 0.000
5 I 0.500 0.500 0.500

Version two
Entry from the Alexandria database: a relaxed TcAu3I crystal (PBE).

Properties
- DOS at the Fermi energy (states/eV/cell) = 3.4
- total magnetic moment (μB per formula unit) = 5.0

Cell: 5.345 5.345 5.345 Å, 90.00 90.00 90.00°
Positions (direct):
1 Tc 0.000 0.000 0.000
2 Au 0.000 0.500 0.500
3 Au 0.500 0.000 0.500
4 Au 0.500 0.500 0.000
5 I 0.500 0.500 0.500

Most stable of them? version one.

Version one
Entry from the Alexandria database: a relaxed TcTe2AuI crystal (PBE).

Properties
- DOS at the Fermi energy (states/eV/cell) = 4.2
- total magnetic moment (μB per formula unit) = 0.0

Cell: 5.087 5.087 5.814 Å, 90.00 90.00 90.00°
Positions (direct):
1 Tc 0.000 0.000 0.000
2 Te 0.000 0.500 0.000
3 Te 0.500 0.000 0.000
4 Au 0.500 0.500 0.500
5 I 0.000 0.000 0.500

Version two
Entry from the Alexandria database: a relaxed TcTe2AuI crystal (PBE).

Properties
- DOS at the Fermi energy (states/eV/cell) = 3.8
- total magnetic moment (μB per formula unit) = 4.8

Cell: 5.492 5.492 5.499 Å, 90.00 90.00 90.00°
Positions (direct):
1 Tc 0.000 0.000 0.000
2 Te 0.000 0.500 0.500
3 Te 0.500 0.000 0.500
4 Au 0.500 0.500 0.500
5 I 0.500 0.500 0.000

Most stable of them? version one.

Version one
Entry from the Alexandria database: a relaxed Te2Au2I crystal (PBE).

Properties
- DOS at the Fermi energy (states/eV/cell) = 2.3
- total magnetic moment (μB per formula unit) = 0.0

Cell: 6.667 6.667 6.667 Å, 132.64 132.64 69.22°
Positions (direct):
1 Te 0.250 0.750 0.500
2 Te 0.750 0.250 0.500
3 Au 0.184 0.184 0.000
4 Au 0.816 0.816 0.000
5 I 0.500 0.500 0.000

Version two
Entry from the Alexandria database: a relaxed Te2Au2I crystal (PBE).

Properties
- DOS at the Fermi energy (states/eV/cell) = 3.5
- total magnetic moment (μB per formula unit) = 0.0

Cell: 8.667 8.667 8.667 Å, 152.05 152.05 39.94°
Positions (direct):
1 Te 0.133 0.133 0.000
2 Te 0.867 0.867 0.000
3 Au 0.250 0.750 0.500
4 Au 0.750 0.250 0.500
5 I 0.500 0.500 0.000

Version three
Entry from the Alexandria database: a relaxed Te2Au2I crystal (PBE).

Properties
- DOS at the Fermi energy (states/eV/cell) = 4.4
- total magnetic moment (μB per formula unit) = 0.0

Cell: 8.572 8.572 3.725 Å, 90.00 90.00 90.00°
Positions (direct):
1 Te 0.208 0.292 0.000
2 Te 0.292 0.792 0.000
3 Te 0.708 0.208 0.000
4 Te 0.792 0.708 0.000
5 Au 0.113 0.613 0.500
6 Au 0.387 0.113 0.500
7 Au 0.613 0.887 0.500
8 Au 0.887 0.387 0.500
9 I 0.000 0.000 0.000
10 I 0.500 0.500 0.000

Most stable of them? version two.

Version one
Entry from the Alexandria database: a relaxed TeAu2I crystal (PBE).

Properties
- DOS at the Fermi energy (states/eV/cell) = 2.1
- total magnetic moment (μB per formula unit) = 0.0

Cell: 7.421 7.421 7.421 Å, 32.46 32.46 32.46°
Positions (direct):
1 Te 0.000 0.000 0.000
2 Au 0.258 0.258 0.258
3 Au 0.742 0.742 0.742
4 I 0.500 0.500 0.500

Version two
Entry from the Alexandria database: a relaxed TeAu2I crystal (PBE).

Properties
- DOS at the Fermi energy (states/eV/cell) = 6.1
- total magnetic moment (μB per formula unit) = 0.0

Cell: 5.196 5.196 5.196 Å, 60.00 60.00 60.00°
Positions (direct):
1 Te 0.000 0.000 0.000
2 Au 0.250 0.250 0.250
3 Au 0.750 0.750 0.750
4 I 0.500 0.500 0.500

Version three
Entry from the Alexandria database: a relaxed TeAu2I crystal (PBE).

Properties
- DOS at the Fermi energy (states/eV/cell) = 5.7
- total magnetic moment (μB per formula unit) = 0.0

Cell: 7.799 7.799 7.799 Å, 130.88 130.88 72.00°
Positions (direct):
1 Te 0.000 0.000 0.000
2 Te 0.750 0.250 0.500
3 Au 0.094 0.625 0.969
4 Au 0.375 0.344 0.469
5 Au 0.656 0.125 0.031
6 Au 0.875 0.906 0.531
7 I 0.250 0.750 0.500
8 I 0.500 0.500 0.000

Most stable of them? version three.

Version one
Entry from the Alexandria database: a relaxed Te3AuI crystal (PBE).

Properties
- DOS at the Fermi energy (states/eV/cell) = 5.0
- total magnetic moment (μB per formula unit) = 0.0

Cell: 7.290 6.495 7.294 Å, 90.00 90.05 90.00°
Positions (direct):
1 Te 0.000 0.014 0.250
2 Te 0.000 0.986 0.750
3 Te 0.241 0.337 0.750
4 Te 0.241 0.663 0.250
5 Te 0.759 0.337 0.750
6 Te 0.759 0.663 0.250
7 Au 0.000 0.500 0.000
8 Au 0.000 0.500 0.500
9 I 0.500 0.250 0.250
10 I 0.500 0.750 0.750

Version two
Entry from the Alexandria database: a relaxed Te3AuI crystal (PBE).

Properties
- DOS at the Fermi energy (states/eV/cell) = 8.5
- total magnetic moment (μB per formula unit) = 0.0

Cell: 5.486 5.486 5.486 Å, 90.00 90.00 90.00°
Positions (direct):
1 Te 0.000 0.000 0.500
2 Te 0.000 0.500 0.000
3 Te 0.500 0.000 0.000
4 Au 0.000 0.000 0.000
5 I 0.500 0.500 0.500

Most stable of them? version one.

Version one
Entry from the Alexandria database: a relaxed TiTeAuI2 crystal (PBE).

Properties
- DOS at the Fermi energy (states/eV/cell) = 12.0
- total magnetic moment (μB per formula unit) = 0.1

Cell: 5.499 5.499 5.628 Å, 90.00 90.00 90.00°
Positions (direct):
1 Ti 0.000 0.000 0.000
2 Te 0.500 0.500 0.000
3 Au 0.500 0.500 0.500
4 I 0.000 0.500 0.500
5 I 0.500 0.000 0.500

Version two
Entry from the Alexandria database: a relaxed TiTeAuI2 crystal (PBE).

Properties
- DOS at the Fermi energy (states/eV/cell) = 4.1
- total magnetic moment (μB per formula unit) = 0.2

Cell: 5.410 5.410 5.481 Å, 90.00 90.00 90.00°
Positions (direct):
1 Ti 0.000 0.000 0.000
2 Te 0.000 0.000 0.500
3 Au 0.500 0.500 0.500
4 I 0.000 0.500 0.000
5 I 0.500 0.000 0.000

Most stable of them? version two.

Version one
Entry from the Alexandria database: a relaxed TlTeAuI2 crystal (PBE).

Properties
- DOS at the Fermi energy (states/eV/cell) = 6.4
- total magnetic moment (μB per formula unit) = 0.4

Cell: 6.010 6.010 5.855 Å, 90.00 90.00 90.00°
Positions (direct):
1 Tl 0.000 0.000 0.000
2 Te 0.000 0.000 0.500
3 Au 0.500 0.500 0.500
4 I 0.000 0.500 0.000
5 I 0.500 0.000 0.000

Version two
Entry from the Alexandria database: a relaxed TlTeAuI2 crystal (PBE).

Properties
- DOS at the Fermi energy (states/eV/cell) = 5.7
- total magnetic moment (μB per formula unit) = 0.0

Cell: 5.730 5.730 5.562 Å, 90.00 90.00 90.00°
Positions (direct):
1 Tl 0.000 0.000 0.000
2 Te 0.500 0.500 0.000
3 Au 0.500 0.500 0.500
4 I 0.000 0.500 0.500
5 I 0.500 0.000 0.500

Most stable of them? version two.

Version one
Entry from the Alexandria database: a relaxed VTe2AuI crystal (PBE).

Properties
- DOS at the Fermi energy (states/eV/cell) = 3.6
- total magnetic moment (μB per formula unit) = 0.0

Cell: 5.069 5.069 5.681 Å, 90.00 90.00 90.00°
Positions (direct):
1 V 0.000 0.000 0.000
2 Te 0.000 0.500 0.000
3 Te 0.500 0.000 0.000
4 Au 0.500 0.500 0.500
5 I 0.000 0.000 0.500

Version two
Entry from the Alexandria database: a relaxed VTe2AuI crystal (PBE).

Properties
- DOS at the Fermi energy (states/eV/cell) = 8.4
- total magnetic moment (μB per formula unit) = 0.0

Cell: 5.491 5.491 5.447 Å, 90.00 90.00 90.00°
Positions (direct):
1 V 0.000 0.000 0.000
2 Te 0.000 0.500 0.500
3 Te 0.500 0.000 0.500
4 Au 0.500 0.500 0.500
5 I 0.500 0.500 0.000

Most stable of them? version one.